DFT (PBE) results for crystalline Rb2PuNpSe4 at its relaxed geometry.

Values from the calculation:
Its space-group type is P2/m (10). The value obtained for the size of the total moment is 9.00 μB per formula unit. The calculation puts the raw formation energy at -1.353 eV/atom. The value obtained for the calculated volume is 255.6 Å³/cell.

a b c (Å): 4.305 7.457 8.342
angles (deg): 107.34 90.00 90.00
Each line ends with the local moment (μB).
Element x y z (fractional)
Pu: 0.500 0.500 0.000  5.23
Se: 0.000 0.735 0.195  -0.09
Se: 0.500 0.772 0.805  -0.09
Se: 0.500 0.228 0.195  -0.09
Se: 0.000 0.265 0.805  -0.09
Np: 0.000 0.000 0.000  3.86
Rb: 0.500 0.000 0.500  0.00
Rb: 0.000 0.500 0.500  0.00

=====

DFT (PBE) results for crystalline TePPt2 at its relaxed geometry.

Values from the calculation:
Its energy above the most stable polymorph in this dataset is 15 meV/atom. Its space-group type is Cm (8). The value obtained for the size of the total moment is 0.00 μB per formula unit. The calculation puts the raw formation energy at -0.291 eV/atom. The value obtained for the calculated volume is 80.2 Å³/cell.

a b c (Å): 4.237 4.237 6.141
angles (deg): 87.49 87.49 46.77
Element x y z (fractional)
Pt: 0.794 0.794 0.231
Pt: 0.959 0.959 0.832
P: 0.246 0.246 0.964
Te: 0.501 0.501 0.473

=====

DFT (PBE) results for crystalline RhW2N at its relaxed geometry.

Values from the calculation:
Its space-group type is I-42d (122). The value obtained for the size of the total moment is 0.00 μB per formula unit. The calculation puts the raw formation energy at 0.392 eV/atom. The value obtained for the calculated volume is 130.7 Å³/cell.

a b c (Å): 4.795 4.795 6.618
angles (deg): 68.76 68.76 90.00
Element x y z (fractional)
W: 0.529 0.125 0.250
W: 0.375 0.471 0.750
W: 0.875 0.779 0.750
W: 0.221 0.625 0.250
N: 0.500 0.500 0.000
N: 0.250 0.750 0.500
Rh: 0.000 0.000 0.000
Rh: 0.750 0.250 0.500

=====

DFT (PBE) results for crystalline SrTc2Rh at its relaxed geometry.

Values from the calculation:
Its energy above the most stable polymorph in this dataset is 186 meV/atom. Its space-group type is Immm (71). The value obtained for the size of the total moment is 0.00 μB per formula unit. The value obtained for the calculated volume is 72.9 Å³/cell.

a b c (Å): 6.041 6.041 6.041
angles (deg): 152.81 133.32 54.86
Element x y z (fractional)
Sr: 0.250 0.750 0.500
Tc: 0.966 0.966 0.000
Tc: 0.534 0.534 0.000
Rh: 0.750 0.250 0.500

=====

DFT (PBE) results for crystalline MnSi5 at its relaxed geometry.

Values from the calculation:
Its energy above the most stable polymorph in this dataset is 114 meV/atom. Its space-group type is P-62m (189). The value obtained for the size of the total moment is 1.11 μB per formula unit. The calculation puts the raw formation energy at 0.267 eV/atom. The value obtained for the calculated volume is 77.9 Å³/cell.

a b c (Å): 4.530 4.530 4.381
angles (deg): 90.00 90.00 120.00
Each line ends with the local moment (μB).
Element x y z (fractional)
Si: 0.667 0.333 0.500  0.00
Si: 0.321 0.321 0.000  -0.02
Si: 0.333 0.667 0.500  0.00
Si: 0.000 0.679 0.000  -0.02
Si: 0.679 0.000 0.000  -0.02
Mn: 0.000 0.000 0.500  1.22

=====

DFT (PBE) results for crystalline DyErMgTi at its relaxed geometry.

Values from the calculation:
Its space-group type is F-43m (216). The value obtained for the size of the total moment is 2.17 μB per formula unit. The value obtained for the total DFT energy (no corrections) is -18.08 eV/cell. The value obtained for the calculated volume is 101.2 Å³/cell.

a b c (Å): 5.232 5.232 5.232
angles (deg): 60.00 60.00 60.00
Each line ends with the local moment (μB).
Element x y z (fractional)
Ti: 0.750 0.750 0.750  1.33
Er: 0.000 0.000 0.000  0.24
Mg: 0.250 0.250 0.250  -0.01
Dy: 0.500 0.500 0.500  0.21

=====

DFT (PBE) results for crystalline Li2TbHoTe4 at its relaxed geometry.

Values from the calculation:
Its space-group type is P2/m (10). The value obtained for the size of the total moment is 0.00 μB per formula unit. The calculation puts the raw formation energy at -1.291 eV/atom. The value obtained for the calculated volume is 230.6 Å³/cell.

a b c (Å): 4.345 7.519 7.490
angles (deg): 109.53 90.00 90.00
Element x y z (fractional)
Te: 0.500 0.254 0.256
Te: 0.500 0.746 0.744
Te: 0.000 0.750 0.255
Te: 0.000 0.250 0.745
Li: 0.500 0.000 0.500
Li: 0.000 0.500 0.500
Tb: 0.000 0.000 0.000
Ho: 0.500 0.500 0.000

=====

DFT (PBE) results for crystalline ZnCrTcIr at its relaxed geometry.

Values from the calculation:
Its space-group type is F-43m (216). The value obtained for the size of the total moment is 0.46 μB per formula unit. The value obtained for the total DFT energy (no corrections) is -30.12 eV/cell. The value obtained for the calculated volume is 54.5 Å³/cell.

a b c (Å): 4.256 4.256 4.256
angles (deg): 60.00 60.00 60.00
Each line ends with the local moment (μB).
Element x y z (fractional)
Tc: 0.750 0.750 0.750  -0.37
Zn: 0.000 0.000 0.000  -0.02
Ir: 0.250 0.250 0.250  -0.06
Cr: 0.500 0.500 0.500  0.91

=====

DFT (PBE) results for crystalline Be2ReAu at its relaxed geometry.

Values from the calculation:
Its energy above the most stable polymorph in this dataset is 146 meV/atom. Its space-group type is Fm-3m (225). The value obtained for the size of the total moment is 0.00 μB per formula unit. The value obtained for the calculated volume is 47.9 Å³/cell.

a b c (Å): 4.075 4.075 4.075
angles (deg): 60.00 60.00 60.00
Element x y z (fractional)
Re: 0.000 0.000 0.000
Be: 0.250 0.250 0.250
Be: 0.750 0.750 0.750
Au: 0.500 0.500 0.500

=====

DFT (PBE) results for crystalline Pr11Zn9Cu4 at its relaxed geometry.

Values from the calculation:
Its space-group type is Cmmm (65). The value obtained for the size of the total moment is 0.00 μB per formula unit. The value obtained for the total DFT energy (no corrections) is -86.13 eV/cell. The value obtained for the calculated volume is 581.3 Å³/cell.

a b c (Å): 3.739 12.976 12.976
angles (deg): 112.59 90.00 90.00
Element x y z (fractional)
Pr: 0.000 0.369 0.631
Pr: 0.000 0.411 0.064
Pr: 0.000 0.064 0.411
Pr: 0.000 0.000 0.000
Pr: 0.000 0.291 0.291
Pr: 0.000 0.936 0.589
Pr: 0.000 0.830 0.170
Pr: 0.000 0.170 0.830
Pr: 0.000 0.631 0.369
Pr: 0.000 0.709 0.709
Pr: 0.000 0.589 0.936
Zn: 0.500 0.500 0.500
Zn: 0.500 0.370 0.834
Zn: 0.500 0.630 0.166
Zn: 0.500 0.070 0.214
Zn: 0.500 0.166 0.630
Zn: 0.500 0.214 0.070
Zn: 0.500 0.834 0.370
Zn: 0.500 0.930 0.786
Zn: 0.500 0.786 0.930
Cu: 0.500 0.249 0.448
Cu: 0.500 0.751 0.552
Cu: 0.500 0.448 0.249
Cu: 0.500 0.552 0.751

=====

DFT (PBE) results for crystalline BaHg2Pb at its relaxed geometry.

Values from the calculation:
Its energy above the most stable polymorph in this dataset is 110 meV/atom. Its space-group type is P4/mmm (123). The value obtained for the size of the total moment is 0.00 μB per formula unit. The value obtained for the calculated volume is 128.9 Å³/cell.

a b c (Å): 4.609 5.289 5.289
angles (deg): 90.00 90.00 90.00
Element x y z (fractional)
Hg: 0.000 0.500 0.000
Hg: 0.000 0.000 0.500
Pb: 0.500 0.000 0.000
Ba: 0.500 0.500 0.500

=====

DFT (PBE) results for crystalline BaTl2AgCl5 at its relaxed geometry.

Values from the calculation:
Its space-group type is Cmc2_1 (36). The value obtained for the size of the total moment is 0.00 μB per formula unit. The calculation puts the raw formation energy at -1.366 eV/atom. The value obtained for the calculated volume is 576.4 Å³/cell.

a b c (Å): 4.521 9.755 13.434
angles (deg): 90.00 90.00 103.40
Element x y z (fractional)
Cl: 0.303 0.607 0.355
Cl: 0.957 0.914 0.549
Cl: 0.707 0.413 0.163
Cl: 0.293 0.587 0.663
Cl: 0.697 0.393 0.855
Cl: 0.366 0.731 0.008
Cl: 0.500 0.999 0.778
Cl: 0.043 0.086 0.049
Cl: 0.500 0.001 0.278
Cl: 0.634 0.269 0.508
Tl: 0.882 0.763 0.807
Tl: 0.107 0.214 0.689
Tl: 0.118 0.237 0.307
Tl: 0.893 0.786 0.189
Ba: 0.204 0.409 0.007
Ba: 0.796 0.591 0.507
Ag: 0.491 0.982 0.467
Ag: 0.509 0.018 0.967

=====

DFT (PBE) results for crystalline Sc2Cu4S5 at its relaxed geometry.

Values from the calculation:
Its space-group type is R-3m (166). The value obtained for the size of the total moment is 0.00 μB per formula unit. The calculation puts the raw formation energy at -0.856 eV/atom. The value obtained for the calculated volume is 188.4 Å³/cell.

a b c (Å): 3.728 3.728 15.801
angles (deg): 83.22 83.22 60.00
Element x y z (fractional)
Cu: 0.416 0.416 0.753
Cu: 0.688 0.688 0.937
Cu: 0.584 0.584 0.247
Cu: 0.312 0.312 0.063
Sc: 0.134 0.134 0.597
Sc: 0.866 0.866 0.403
S: 0.769 0.769 0.693
S: 0.633 0.633 0.102
S: 0.500 0.500 0.500
S: 0.367 0.367 0.898
S: 0.231 0.231 0.307

=====

DFT (PBE) results for crystalline Ba2TlCd3Ag4 at its relaxed geometry.

Values from the calculation:
Its space-group type is P-4m2 (115). The value obtained for the size of the total moment is 0.00 μB per formula unit. The value obtained for the total DFT energy (no corrections) is -22.52 eV/cell. The value obtained for the calculated volume is 280.6 Å³/cell.

a b c (Å): 4.995 4.995 11.248
angles (deg): 90.00 90.00 90.00
Element x y z (fractional)
Cd: 0.500 0.000 0.881
Cd: 0.000 0.000 0.500
Cd: 0.000 0.500 0.119
Ba: 0.500 0.000 0.243
Ba: 0.000 0.500 0.757
Ag: 0.500 0.500 0.000
Ag: 0.000 0.000 0.000
Ag: 0.000 0.500 0.367
Ag: 0.500 0.000 0.633
Tl: 0.500 0.500 0.500

=====

DFT (PBE) results for crystalline Hg4SbI2 at its relaxed geometry.

Values from the calculation:
Its energy above the most stable polymorph in this dataset is 0 meV/atom. Its space-group type is I4/mmm (139). The value obtained for the size of the total moment is 0.00 μB per formula unit. The calculation puts the raw formation energy at -0.106 eV/atom. The value obtained for the calculated volume is 266.1 Å³/cell.

a b c (Å): 5.736 5.736 9.049
angles (deg): 108.48 108.48 90.00
Element x y z (fractional)
Hg: 0.500 0.000 0.000
Hg: 0.821 0.821 0.641
Hg: 0.179 0.179 0.359
Hg: 0.000 0.500 0.000
I: 0.363 0.363 0.725
I: 0.637 0.637 0.275
Sb: 0.000 0.000 0.000

=====

DFT (PBE) results for crystalline ZnSnRh2 at its relaxed geometry.

Values from the calculation:
Its space-group type is Fm-3m (225). The value obtained for the size of the total moment is 0.00 μB per formula unit. The value obtained for the total DFT energy (no corrections) is -21.93 eV/cell. The value obtained for the calculated volume is 61.7 Å³/cell.

a b c (Å): 4.435 4.435 4.435
angles (deg): 60.00 60.00 60.00
Element x y z (fractional)
Zn: 0.750 0.750 0.750
Rh: 0.500 0.500 0.500
Rh: 0.000 0.000 0.000
Sn: 0.250 0.250 0.250

=====

DFT (PBE) results for crystalline MgGa2Bi2 at its relaxed geometry.

Values from the calculation:
Its energy above the most stable polymorph in this dataset is 12 meV/atom. Its space-group type is P4/mbm (127). The value obtained for the size of the total moment is 0.00 μB per formula unit. The value obtained for the calculated volume is 252.8 Å³/cell.

a b c (Å): 7.447 7.447 4.559
angles (deg): 90.00 90.00 90.00
Element x y z (fractional)
Bi: 0.697 0.803 0.500
Bi: 0.803 0.303 0.500
Bi: 0.197 0.697 0.500
Bi: 0.303 0.197 0.500
Ga: 0.879 0.621 0.000
Ga: 0.121 0.379 0.000
Ga: 0.379 0.879 0.000
Ga: 0.621 0.121 0.000
Mg: 0.000 0.000 0.000
Mg: 0.500 0.500 0.000

=====

DFT (PBE) results for crystalline SrTiAg3 at its relaxed geometry.

Values from the calculation:
Its energy above the most stable polymorph in this dataset is 0 meV/atom. Its space-group type is Pm-3m (221). The value obtained for the size of the total moment is 1.44 μB per formula unit. The value obtained for the calculated volume is 136.6 Å³/cell.

a b c (Å): 5.150 5.150 5.150
angles (deg): 90.00 90.00 90.00
Each line ends with the local moment (μB).
Element x y z (fractional)
Sr: 0.500 0.500 0.500  0.00
Ag: 0.500 0.000 0.000  0.06
Ag: 0.000 0.000 0.500  0.01
Ag: 0.000 0.500 0.000  0.02
Ti: 0.000 0.000 0.000  1.11